The following is a PBE-GGA calculation of a geometry-optimized K3Tl9In2 structure, from the Alexandria database.

Values from the calculation:
Formation energy from the elements: -0.07 eV/atom
Magnetization: 0.000 μB/atom
Crystal system: orthorhombic
Space group: No. 71

Cell: 5.2604 9.8082 9.8082 Å, 77.82 74.45 74.45°
Closest atoms and distances in Å follow each position.
Fractional positions:
Tl 0.1488 0.1351 0.5672  4 Tl 3.23-3.41, 2 In 3.45
Tl 0.8512 0.8649 0.4328  4 Tl 3.23-3.41, 2 In 3.45
Tl 0.3668 0.2654 0.0011  1 In 3.17, 4 Tl 3.23-3.29
Tl 0.0000 0.5000 0.5000  4 In 3.31, 4 Tl 3.41
Tl 0.3668 0.0011 0.2654  1 In 3.17, 4 Tl 3.23-3.29
Tl 0.6332 0.7346 0.9989  1 In 3.17, 4 Tl 3.23-3.29
Tl 0.6332 0.9989 0.7346  1 In 3.17, 4 Tl 3.23-3.29
Tl 0.1488 0.5672 0.1351  4 Tl 3.23-3.41, 2 In 3.45
Tl 0.8512 0.4328 0.8649  4 Tl 3.23-3.41, 2 In 3.45
K 0.7131 0.2869 0.2869  2 In 3.65, 12 Tl 3.80-4.03
K 0.2869 0.7131 0.7131  2 In 3.65, 12 Tl 3.80-4.03
K 0.0000 0.0000 0.0000  8 Tl 3.64
In 0.5000 0.6625 0.3375  8 Tl 3.17-3.45
In 0.5000 0.3375 0.6625  8 Tl 3.17-3.45